(1)
## Ni2AgSe (SCAN)

Data for a crystal of Ni2AgSe relaxed with PBEsol.

Calculated values
**SG**: Imm2, No. 44
**Spin magnetization**: 0.0 μB per formula unit
**Raw total energy**: -20.697 eV/atom
**Uncorrected formation energy**: 0.251 eV per atom
**Energy above the most stable polymorph in this dataset**: 0 meV per atom

The structure in CIF format:
```
data_Ni2AgSe
_chemical_formula_sum 'Ni2 Ag1 Se1'
_cell_length_a 3.123
_cell_length_b 4.023
_cell_length_c 5.078
_cell_angle_alpha 113.34
_cell_angle_beta 107.91
_cell_angle_gamma 90.00
_space_group_name_H-M_alt 'P 1'
_space_group_IT_number 1
loop_
_space_group_symop_operation_xyz
'x,y,z'
loop_
_atom_site_label
_atom_site_fract_x
_atom_site_fract_y
_atom_site_fract_z
Ni1 0.778 0.278 0.556
Ni2 0.017 0.017 0.034
Ag1 0.234 0.734 0.468
Se1 0.471 0.471 0.942
```

=====

(2)
## Ni2AgSe (SCAN)

Data for a crystal of Ni2AgSe relaxed with PBEsol.

Calculated values
**SG**: F-43m, No. 216
**Spin magnetization**: 0.0 μB per formula unit
**Raw total energy**: -20.485 eV/atom
**Uncorrected formation energy**: 0.464 eV per atom
**Energy above the most stable polymorph in this dataset**: 213 meV per atom

The structure in CIF format:
```
data_Ni2AgSe
_chemical_formula_sum 'Ni2 Ag1 Se1'
_cell_length_a 4.270
_cell_length_b 4.270
_cell_length_c 4.270
_cell_angle_alpha 60.00
_cell_angle_beta 60.00
_cell_angle_gamma 60.00
_space_group_name_H-M_alt 'P 1'
_space_group_IT_number 1
loop_
_space_group_symop_operation_xyz
'x,y,z'
loop_
_atom_site_label
_atom_site_fract_x
_atom_site_fract_y
_atom_site_fract_z
Ni1 0.000 0.000 0.000
Ni2 0.750 0.750 0.750
Se1 0.250 0.250 0.250
Ag1 0.500 0.500 0.500
```

=====

(3)
## SiNiAg3 (SCAN)

Data for a crystal of SiNiAg3 relaxed with PBEsol.

Calculated values
**SG**: Pm-3m, No. 221
**Spin magnetization**: 0.5 μB per formula unit
**Raw total energy**: -22.948 eV/atom
**Uncorrected formation energy**: 1.110 eV per atom

The structure in CIF format:
```
data_SiNiAg3
_chemical_formula_sum 'Si1 Ni1 Ag3'
_cell_length_a 4.631
_cell_length_b 4.631
_cell_length_c 4.631
_cell_angle_alpha 90.00
_cell_angle_beta 90.00
_cell_angle_gamma 90.00
_space_group_name_H-M_alt 'P 1'
_space_group_IT_number 1
loop_
_space_group_symop_operation_xyz
'x,y,z'
loop_
_atom_site_label
_atom_site_fract_x
_atom_site_fract_y
_atom_site_fract_z
Ni1 0.000 0.000 0.000
Si1 0.500 0.500 0.500
Ag1 0.500 0.000 0.000
Ag2 0.000 0.000 0.500
Ag3 0.000 0.500 0.000
```

=====

(4)
## NiAg2SnTe (SCAN)

Data for a crystal of NiAg2SnTe relaxed with PBEsol.

Calculated values
**SG**: P4/mmm, No. 123
**Spin magnetization**: 0.0 μB per formula unit
**Raw total energy**: -30.014 eV/atom
**Uncorrected formation energy**: 0.402 eV per atom

The structure in CIF format:
```
data_NiAg2SnTe
_chemical_formula_sum 'Ni1 Ag2 Sn1 Te1'
_cell_length_a 4.685
_cell_length_b 4.852
_cell_length_c 4.852
_cell_angle_alpha 90.00
_cell_angle_beta 90.00
_cell_angle_gamma 90.00
_space_group_name_H-M_alt 'P 1'
_space_group_IT_number 1
loop_
_space_group_symop_operation_xyz
'x,y,z'
loop_
_atom_site_label
_atom_site_fract_x
_atom_site_fract_y
_atom_site_fract_z
Ag1 0.000 0.000 0.500
Ag2 0.000 0.500 0.000
Sn1 0.500 0.000 0.000
Te1 0.500 0.500 0.500
Ni1 0.000 0.000 0.000
```

=====

(5)
## Sr2Ni2Ag (SCAN)

Data for a crystal of Sr2Ni2Ag relaxed with PBEsol.

Calculated values
**SG**: I4/mmm, No. 139
**Spin magnetization**: 1.5 μB per formula unit
**E_form**: 0.1566 eV per atom
**Raw total energy**: -21.496 eV/atom

The structure in CIF format:
```
data_Sr2Ni2Ag
_chemical_formula_sum 'Sr2 Ni2 Ag1'
_cell_length_a 3.484
_cell_length_b 3.484
_cell_length_c 9.456
_cell_angle_alpha 100.62
_cell_angle_beta 100.62
_cell_angle_gamma 90.00
_space_group_name_H-M_alt 'P 1'
_space_group_IT_number 1
loop_
_space_group_symop_operation_xyz
'x,y,z'
loop_
_atom_site_label
_atom_site_fract_x
_atom_site_fract_y
_atom_site_fract_z
Sr1 0.380 0.380 0.761
Sr2 0.620 0.620 0.239
Ni1 0.250 0.750 0.500
Ni2 0.750 0.250 0.500
Ag1 0.000 0.000 0.000
```

=====

(6)
## SrNi2Ag (SCAN)

Data for a crystal of SrNi2Ag relaxed with PBEsol.

Calculated values
**SG**: Immm, No. 71
**Spin magnetization**: 0.0 μB per formula unit
**E_form**: 0.4584 eV per atom
**Raw total energy**: -21.039 eV/atom

The structure in CIF format:
```
data_SrNi2Ag
_chemical_formula_sum 'Sr1 Ni2 Ag1'
_cell_length_a 4.295
_cell_length_b 4.753
_cell_length_c 4.326
_cell_angle_alpha 117.07
_cell_angle_beta 90.00
_cell_angle_gamma 116.86
_space_group_name_H-M_alt 'P 1'
_space_group_IT_number 1
loop_
_space_group_symop_operation_xyz
'x,y,z'
loop_
_atom_site_label
_atom_site_fract_x
_atom_site_fract_y
_atom_site_fract_z
Sr1 0.500 0.000 0.000
Ag1 0.000 0.000 0.500
Ni1 0.748 0.496 0.748
Ni2 0.252 0.504 0.252
```

=====

(7)
## SrNi3Ag (SCAN)

Data for a crystal of SrNi3Ag relaxed with PBEsol.

Calculated values
**SG**: Pm-3m, No. 221
**Spin magnetization**: 0.0 μB per formula unit
**E_form**: 1.9537 eV per atom
**Raw total energy**: -18.479 eV/atom

The structure in CIF format:
```
data_SrNi3Ag
_chemical_formula_sum 'Sr1 Ni3 Ag1'
_cell_length_a 4.598
_cell_length_b 4.598
_cell_length_c 4.598
_cell_angle_alpha 90.00
_cell_angle_beta 90.00
_cell_angle_gamma 90.00
_space_group_name_H-M_alt 'P 1'
_space_group_IT_number 1
loop_
_space_group_symop_operation_xyz
'x,y,z'
loop_
_atom_site_label
_atom_site_fract_x
_atom_site_fract_y
_atom_site_fract_z
Ni1 0.500 0.000 0.000
Ni2 0.000 0.000 0.500
Ni3 0.000 0.500 0.000
Sr1 0.000 0.000 0.000
Ag1 0.500 0.500 0.500
```

=====

(8)
## Sr4NiAg (SCAN)

Data for a crystal of Sr4NiAg relaxed with PBEsol.

Calculated values
**SG**: F-43m, No. 216
**Spin magnetization**: 1.0 μB per formula unit
**E_form**: 0.9996 eV per atom
**Raw total energy**: -21.774 eV/atom

The structure in CIF format:
```
data_Sr4NiAg
_chemical_formula_sum 'Sr4 Ni1 Ag1'
_cell_length_a 6.695
_cell_length_b 6.695
_cell_length_c 6.695
_cell_angle_alpha 60.00
_cell_angle_beta 60.00
_cell_angle_gamma 60.00
_space_group_name_H-M_alt 'P 1'
_space_group_IT_number 1
loop_
_space_group_symop_operation_xyz
'x,y,z'
loop_
_atom_site_label
_atom_site_fract_x
_atom_site_fract_y
_atom_site_fract_z
Sr1 0.375 0.375 0.375
Sr2 0.375 0.375 0.876
Sr3 0.876 0.375 0.375
Sr4 0.375 0.876 0.375
Ag1 0.750 0.750 0.750
Ni1 0.000 0.000 0.000
```

=====

(9)
## Ta2NiAg (SCAN)

Data for a crystal of Ta2NiAg relaxed with PBEsol.

Calculated values
**SG**: P2/m, No. 10
**Spin magnetization**: 0.0 μB per formula unit
**E_form**: 0.1583 eV per atom
**Raw total energy**: -45.018 eV/atom
**Energy above the most stable polymorph in this dataset**: 0 meV per atom

The structure in CIF format:
```
data_Ta2NiAg
_chemical_formula_sum 'Ta2 Ni1 Ag1'
_cell_length_a 2.774
_cell_length_b 3.987
_cell_length_c 5.578
_cell_angle_alpha 90.00
_cell_angle_beta 94.24
_cell_angle_gamma 90.00
_space_group_name_H-M_alt 'P 1'
_space_group_IT_number 1
loop_
_space_group_symop_operation_xyz
'x,y,z'
loop_
_atom_site_label
_atom_site_fract_x
_atom_site_fract_y
_atom_site_fract_z
Ta1 0.971 0.000 0.735
Ta2 0.029 0.000 0.265
Ni1 0.500 0.500 0.500
Ag1 0.500 0.500 0.000
```

=====

(10)
## TaNiAg (SCAN)

Data for a crystal of TaNiAg relaxed with PBEsol.

Calculated values
**SG**: Imm2, No. 44
**Spin magnetization**: 0.0 μB per formula unit
**E_form**: 0.1338 eV per atom
**Raw total energy**: -37.907 eV/atom
**Energy above the most stable polymorph in this dataset**: 0 meV per atom

The structure in CIF format:
```
data_TaNiAg
_chemical_formula_sum 'Ta1 Ni1 Ag1'
_cell_length_a 2.795
_cell_length_b 3.743
_cell_length_c 4.799
_cell_angle_alpha 112.96
_cell_angle_beta 106.93
_cell_angle_gamma 90.00
_space_group_name_H-M_alt 'P 1'
_space_group_IT_number 1
loop_
_space_group_symop_operation_xyz
'x,y,z'
loop_
_atom_site_label
_atom_site_fract_x
_atom_site_fract_y
_atom_site_fract_z
Ta1 0.324 0.324 0.648
Ag1 0.005 0.005 0.011
Ni1 0.671 0.671 0.342
```

=====

(11)
## TaNiAg2 (SCAN)

Data for a crystal of TaNiAg2 relaxed with PBEsol.

Calculated values
**SG**: P4/mmm, No. 123
**Spin magnetization**: 0.0 μB per formula unit
**E_form**: 0.3432 eV per atom
**Raw total energy**: -36.030 eV/atom
**Energy above the most stable polymorph in this dataset**: 0 meV per atom

The structure in CIF format:
```
data_TaNiAg2
_chemical_formula_sum 'Ta1 Ni1 Ag2'
_cell_length_a 2.755
_cell_length_b 2.755
_cell_length_c 7.963
_cell_angle_alpha 90.00
_cell_angle_beta 90.00
_cell_angle_gamma 90.00
_space_group_name_H-M_alt 'P 1'
_space_group_IT_number 1
loop_
_space_group_symop_operation_xyz
'x,y,z'
loop_
_atom_site_label
_atom_site_fract_x
_atom_site_fract_y
_atom_site_fract_z
Ag1 0.000 0.000 0.226
Ag2 0.000 0.000 0.774
Ni1 0.500 0.500 0.000
Ta1 0.500 0.500 0.500
```

=====

(12)
## TaNiAg2 (SCAN)

Data for a crystal of TaNiAg2 relaxed with PBEsol.

Calculated values
**SG**: F-43m, No. 216
**Spin magnetization**: 0.0 μB per formula unit
**E_form**: 0.3484 eV per atom
**Raw total energy**: -36.024 eV/atom
**Energy above the most stable polymorph in this dataset**: 5 meV per atom

The structure in CIF format:
```
data_TaNiAg2
_chemical_formula_sum 'Ta1 Ni1 Ag2'
_cell_length_a 4.403
_cell_length_b 4.403
_cell_length_c 4.403
_cell_angle_alpha 60.00
_cell_angle_beta 60.00
_cell_angle_gamma 60.00
_space_group_name_H-M_alt 'P 1'
_space_group_IT_number 1
loop_
_space_group_symop_operation_xyz
'x,y,z'
loop_
_atom_site_label
_atom_site_fract_x
_atom_site_fract_y
_atom_site_fract_z
Ni1 0.500 0.500 0.500
Ta1 0.750 0.750 0.750
Ag1 0.250 0.250 0.250
Ag2 0.000 0.000 0.000
```